## La4TbNd2Dy (PBE)

Data for a geometry-optimized La4TbNd2Dy structure.

Cell and atoms, written as POSCAR:
```
La4TbNd2Dy
1.0
5.225 0.000 0.000
0.000 5.264 0.000
-0.013 0.000 10.233
La Tb Nd Dy
4 1 2 1
direct
0.000 0.000 0.250
0.000 0.000 0.750
0.499 0.500 0.249
0.501 0.500 0.751
0.500 0.000 0.500
0.000 0.500 0.500
0.500 0.000 0.000
0.000 0.500 0.000
```

DOS at the Fermi energy: 12.169 states/eV per cell
ΔE_f: 15 meV/atom
volume: 281.5 Å³ per cell
crystal system: monoclinic

=====

## CaLaNiC2 (PBE)

Data for a geometry-optimized CaLaNiC2 structure.

Cell and atoms, written as POSCAR:
```
CaLaNiC2
1.0
4.452 0.000 0.000
0.000 4.452 0.000
0.000 0.000 6.468
Ca La Ni C
1 1 1 2
direct
0.000 0.000 0.000
0.000 0.000 0.500
0.500 0.500 0.000
0.000 0.500 0.500
0.500 0.000 0.500
```

DOS at the Fermi energy: 5.348 states/eV per cell
ΔE_f: 2185 meV/atom
volume: 128.2 Å³ per cell
crystal system: tetragonal